No. 1
DFT (PBE-GGA) results for crystalline PmTm2MgAu4 at its relaxed geometry.

ΔE_f = -792.3 meV/atom
energy = -34.74 eV/f.u.
M_tot = 0.0 μB per formula unit
DOS(E_F) = 5.66 states/eV per cell

```
PmTm2MgAu4
1.0
-3.842 0.186 -3.131
-4.611 -0.700 1.688
-3.554 8.037 0.911
Au Tm Mg Pm
4 2 1 1
Cartesian
-5.748 0.916 -0.749
-6.258 6.607 0.216
-8.726 2.540 -0.926
-3.280 4.984 0.393
-8.990 5.475 -0.428
-3.017 2.048 -0.105
-6.003 3.762 -0.266
0.000 0.000 0.000
```



No. 2
DFT (PBE-GGA) results for crystalline Sc6CuIr2 at its relaxed geometry.

ΔE_f = -519.3 meV/atom
energy = -64.48 eV/f.u.
M_tot = 0.0 μB per formula unit
DOS(E_F) = 10.59 states/eV per cell

```
Sc6CuIr2
1.0
4.752 0.000 0.000
-2.376 4.116 0.006
0.000 -0.011 8.738
Ir Sc Cu
2 6 1
Cartesian
2.376 1.368 2.547
0.000 2.737 6.197
0.000 2.739 3.471
2.376 4.113 1.676
2.376 1.361 8.636
0.000 -0.008 7.068
2.376 1.366 5.273
0.000 2.744 0.108
0.000 -0.005 4.369
```



No. 3
DFT (PBE-GGA) results for crystalline Pr2Y7Ho3 at its relaxed geometry.

ΔE_f = 154.4 meV/atom
distance to the lowest polymorph of the same formula = 6.25 kJ/mol of atoms
energy = -66.69 eV/f.u.
M_tot = 0.0 μB per formula unit
DOS(E_F) = 21.02 states/eV per cell

```
Pr2Y7Ho3
1.0
3.613 0.000 0.000
0.000 5.779 -0.956
0.000 0.204 19.176
Y Ho Pr
7 3 2
Cartesian
1.807 0.545 3.296
0.000 0.000 0.000
0.000 2.651 16.019
0.000 3.333 2.200
1.807 5.438 14.924
0.000 1.682 10.166
0.000 4.301 8.053
1.807 2.890 -0.478
1.807 2.176 13.148
1.807 3.808 5.071
0.000 1.084 6.552
0.000 4.899 11.667
```



No. 4
DFT (PBE-GGA) results for crystalline CaTb2Eu at its relaxed geometry.

ΔE_f = 225.7 meV/atom
distance to the lowest polymorph of the same formula = 8.21 kJ/mol of atoms
energy = -20.63 eV/f.u.
M_tot = 8.0 μB per formula unit
DOS(E_F) = 5.94 states/eV per cell

```
CaTb2Eu
1.0
-3.098 0.784 -1.645
-1.933 -2.614 -1.533
-8.028 -2.422 10.040
Eu Tb Ca
1 2 1
Cartesian
-6.530 -2.126 3.431
-6.344 -1.941 7.096
-6.715 -2.311 -0.234
0.000 0.000 0.000
```



No. 5
DFT (PBE-GGA) results for crystalline RbAl2TlTc at its relaxed geometry.

ΔE_f = 606.5 meV/atom
energy = -18.15 eV/f.u.
M_tot = 0.0 μB per formula unit
DOS(E_F) = 4.92 states/eV per cell

```
RbAl2TlTc
1.0
-2.607 -1.691 3.824
4.707 -2.684 2.022
1.184 4.024 2.586
Al Tl Rb Tc
2 1 1 1
Cartesian
0.592 2.012 1.293
-1.304 -0.845 1.912
1.642 -0.175 4.216
2.354 -1.342 1.011
0.000 0.000 0.000
```



No. 6
DFT (PBE-GGA) results for crystalline BaAl2InHg at its relaxed geometry.

ΔE_f = 1124.9 meV/atom
energy = -6.82 eV/f.u.
M_tot = 2.0 μB per formula unit
DOS(E_F) = 8.17 states/eV per cell

```
BaAl2InHg
1.0
-2.177 1.631 -5.713
3.146 -5.293 -2.710
-5.152 -3.548 0.950
Hg Al Ba In
1 2 1 1
Cartesian
-2.091 -3.605 -3.736
-2.576 -1.774 0.475
-1.088 0.815 -2.856
0.000 0.000 0.000
1.573 -2.647 -1.355
```